This record from the Alexandria database describes crystalline DyNiB4 at its relaxed geometry. The functional is GGA-PBEsol.

* energy of formation: -630 meV/atom
* energy: -7.16 eV/atom
* D(E_F): 6.28 states/eV/cell
* space-group type: I4/mmm, No. 139

Structure (POSCAR):
```
DyNiB4
1.0
6.759 -0.006 -0.009
-2.641 6.222 0.009
-2.641 -2.722 5.595
B Dy Ni
16 4 4
direct
0.835 0.724 0.112
0.464 0.885 0.885
0.612 0.724 0.888
0.000 0.421 0.885
0.165 0.888 0.276
0.612 0.888 0.724
0.000 0.885 0.421
0.464 0.579 0.579
0.388 0.112 0.276
0.536 0.115 0.115
0.835 0.112 0.724
0.536 0.421 0.421
0.388 0.276 0.112
0.000 0.579 0.115
0.000 0.115 0.579
0.165 0.276 0.888
0.000 0.798 0.798
0.000 0.202 0.202
0.500 0.250 0.750
0.500 0.750 0.250
0.772 0.272 0.500
0.772 0.500 0.272
0.228 0.500 0.728
0.228 0.728 0.500
```